TlBi5Pt3: optimized geometry, PBE.

Cell lengths 5.7632, 5.7632, 8.4484 Å; angles 90.00, 90.00, 120.00 degrees
Last column: nearest neighbours and their distance in Å.
Fractional positions:
1 Tl 0.0000 0.0000 0.0000  14 Bi 3.79-4.22
2 Bi 0.0000 0.0000 0.5000  6 Pt 2.88
3 Bi 0.3333 0.6667 0.2143  3 Pt 2.93
4 Bi 0.3333 0.6667 0.7857  3 Pt 2.93
5 Bi 0.6667 0.3333 0.2143  3 Pt 2.93
6 Bi 0.6667 0.3333 0.7857  3 Pt 2.93
7 Pt 0.0000 0.5000 0.5000  4 Pt 2.88, 6 Bi 2.88-2.93
8 Pt 0.5000 0.0000 0.5000  4 Pt 2.88, 6 Bi 2.88-2.93
9 Pt 0.5000 0.5000 0.5000  4 Pt 2.88, 6 Bi 2.88-2.93

- Energy: -41.56 eV per cell
- Total moment: 0.2 μB per formula unit